(1)
VASP calculation (PBE-GGA) on a geometry-optimized PuPaTaAl structure.

a b c (Å): 4.8722 4.8722 4.8722
angles (deg): 60.00 60.00 60.00
With the nearest neighbours (Å) after each atom.
Positions (direct):
Pa 0.2500 0.2500 0.2500  4 Ta 2.98, 4 Pu 2.98
Ta 0.0000 0.0000 0.0000  4 Pa 2.98, 4 Al 2.98
Al 0.7500 0.7500 0.7500  4 Ta 2.98, 4 Pu 2.98
Pu 0.5000 0.5000 0.5000  4 Pa 2.98, 4 Al 2.98

Properties
Calculated volume = 20.45 A^3/atom
Formation enthalpy at 0 K = 0.030 eV per atom
Total energy = -9.83 eV/atom
Mass density = 13.9 g cm⁻³
Space-group type = F-43m, No. 216
Total magnetic moment = 4.99 Bohr magnetons per cell

---

(2)
VASP calculation (PBE-GGA) on a geometry-optimized PuPaTiAl structure.

a b c (Å): 4.8487 4.8487 4.8487
angles (deg): 60.00 60.00 60.00
With the nearest neighbours (Å) after each atom.
Positions (direct):
Pa 0.2500 0.2500 0.2500  4 Pu 2.97, 4 Ti 2.97
Ti 0.5000 0.5000 0.5000  4 Pa 2.97, 4 Al 2.97
Al 0.7500 0.7500 0.7500  4 Ti 2.97, 4 Pu 2.97
Pu 0.0000 0.0000 0.0000  4 Al 2.97, 4 Pa 2.97

Properties
Calculated volume = 20.15 A^3/atom
Formation enthalpy at 0 K = -0.030 eV per atom
Total energy = -8.90 eV/atom
Mass density = 11.3 g cm⁻³
Space-group type = F-43m, No. 216
Total magnetic moment = 5.30 Bohr magnetons per cell

---

(3)
VASP calculation (PBE-GGA) on a geometry-optimized TmPuPaAl structure.

a b c (Å): 5.1115 5.1115 5.1115
angles (deg): 60.00 60.00 60.00
With the nearest neighbours (Å) after each atom.
Positions (direct):
Pa 0.2500 0.2500 0.2500  4 Tm 3.13, 4 Pu 3.13
Tm 0.5000 0.5000 0.5000  4 Pa 3.13, 4 Al 3.13
Al 0.7500 0.7500 0.7500  4 Pu 3.13, 4 Tm 3.13
Pu 0.0000 0.0000 0.0000  4 Pa 3.13, 4 Al 3.13

Properties
Calculated volume = 23.61 A^3/atom
Formation enthalpy at 0 K = 0.087 eV per atom
Total energy = -7.92 eV/atom
Mass density = 11.8 g cm⁻³
Space-group type = F-43m, No. 216
Total magnetic moment = 6.91 Bohr magnetons per cell

---

(4)
VASP calculation (PBE-GGA) on a geometry-optimized PuUPaAl structure.

a b c (Å): 4.9099 4.9099 4.9099
angles (deg): 60.00 60.00 60.00
With the nearest neighbours (Å) after each atom.
Positions (direct):
Pa 0.5000 0.5000 0.5000  4 U 3.01, 4 Al 3.01
U 0.7500 0.7500 0.7500  4 Pa 3.01, 4 Pu 3.01
Al 0.2500 0.2500 0.2500  4 Pa 3.01, 4 Pu 3.01
Pu 0.0000 0.0000 0.0000  4 U 3.01, 4 Al 3.01

Properties
Calculated volume = 20.92 A^3/atom
Formation enthalpy at 0 K = 0.088 eV per atom
Total energy = -9.63 eV/atom
Mass density = 14.7 g cm⁻³
Space-group type = F-43m, No. 216
Total magnetic moment = 5.14 Bohr magnetons per cell

---

(5)
VASP calculation (PBE-GGA) on a geometry-optimized PuPaAlZn structure.

a b c (Å): 5.0094 5.0094 5.0094
angles (deg): 60.00 60.00 60.00
With the nearest neighbours (Å) after each atom.
Positions (direct):
Zn 0.5000 0.5000 0.5000  4 Pa 3.07, 4 Pu 3.07
Pa 0.2500 0.2500 0.2500  4 Al 3.07, 4 Zn 3.07
Al 0.0000 0.0000 0.0000  4 Pa 3.07, 4 Pu 3.07
Pu 0.7500 0.7500 0.7500  4 Al 3.07, 4 Zn 3.07

Properties
Calculated volume = 22.22 A^3/atom
Formation enthalpy at 0 K = 0.025 eV per atom
Total energy = -7.19 eV/atom
Mass density = 10.6 g cm⁻³
Space-group type = F-43m, No. 216
Total magnetic moment = 5.58 Bohr magnetons per cell
Relative energy among the computed polymorphs = 0.0 meV/atom

---

(6)
VASP calculation (PBE-GGA) on a geometry-optimized PuPaAlZn structure.

a b c (Å): 2.9652 5.5142 5.4809
angles (deg): 90.00 90.00 105.60
With the nearest neighbours (Å) after each atom.
Positions (direct):
Pu 0.1989 0.3978 0.0000  3 Pa 2.72-2.99, 2 Pu 2.97
Pa 0.9431 0.8861 0.0000  3 Pu 2.72-2.99, 2 Pa 2.97
Al 0.0693 0.1385 0.5000  3 Zn 2.85-2.87, 2 Al 2.97, 2 Pa 3.05, 2 Pu 3.07
Zn 0.8011 0.6023 0.5000  3 Al 2.85-2.87, 2 Zn 2.97, 2 Pa 3.13

Properties
Calculated volume = 21.58 A^3/atom
Formation enthalpy at 0 K = 0.197 eV per atom
Total energy = -7.01 eV/atom
Mass density = 10.9 g cm⁻³
Space-group type = Amm2, No. 38
Total magnetic moment = 5.54 Bohr magnetons per cell
Relative energy among the computed polymorphs = 172.1 meV/atom

---

(7)
VASP calculation (PBE-GGA) on a geometry-optimized Rb2PaAlS5 structure.

a b c (Å): 4.0741 9.7072 14.6189
angles (deg): 90.00 90.00 102.11
With the nearest neighbours (Å) after each atom.
Positions (direct):
Rb 0.8765 0.7529 0.8304  4 S 3.27-3.41
Rb 0.1004 0.2008 0.6699  4 S 3.27-3.36
Rb 0.1235 0.2471 0.3304  4 S 3.27-3.41
Rb 0.8996 0.7992 0.1699  4 S 3.27-3.36
Pa 0.7949 0.5899 0.5308  3 S 2.46-2.65
Pa 0.2051 0.4101 0.0308  3 S 2.46-2.65
Al 0.5690 0.1379 0.9220  2 S 2.13-2.33
Al 0.4310 0.8621 0.4220  2 S 2.13-2.33
S 0.3334 0.6668 0.0085  1 Pa 2.46
S 0.6908 0.3816 0.9052  1 Al 2.33
S 0.5088 0.0176 0.7988  1 Al 2.13
S 0.2992 0.5984 0.6468  2 Pa 2.65
S 0.9402 0.8804 0.5116  2 Al 2.43
S 0.6666 0.3332 0.5085  1 Pa 2.46
S 0.3092 0.6184 0.4052  1 Al 2.33
S 0.4912 0.9824 0.2988  1 Al 2.13
S 0.7008 0.4016 0.1468  2 Pa 2.65
S 0.0598 0.1196 0.0116  2 Al 2.43

Properties
Calculated volume = 31.40 A^3/atom
ΔE_f (raw) = -1368.4 meV/atom
Total energy = -5.35 eV/atom
Mass density = 3.5 g cm⁻³
Space-group type = Cmc2_1, No. 36
Total magnetic moment = 0.00 Bohr magnetons per cell

---

(8)
VASP calculation (PBE-GGA) on a geometry-optimized Rb2PaAlSe5 structure.

a b c (Å): 4.2221 10.2542 14.8756
angles (deg): 90.00 90.00 101.88
With the nearest neighbours (Å) after each atom.
Positions (direct):
Rb 0.8799 0.7597 0.8294  6 Se 3.39-3.75
Rb 0.1127 0.2255 0.6794  5 Se 3.41-3.79
Rb 0.1201 0.2403 0.3294  6 Se 3.39-3.75
Rb 0.8873 0.7745 0.1794  5 Se 3.41-3.79
Pa 0.7958 0.5916 0.5280  6 Se 2.60-2.90
Pa 0.2042 0.4084 0.0280  6 Se 2.60-2.90
Al 0.5697 0.1393 0.9218  2 Se 2.27-2.48
Al 0.4303 0.8607 0.4218  2 Se 2.27-2.48
Se 0.3330 0.6661 0.0075  1 Pa 2.60
Se 0.6919 0.3838 0.8962  1 Al 2.48
Se 0.5092 0.0183 0.7925  1 Al 2.27
Se 0.3004 0.6008 0.6503  2 Pa 2.79
Se 0.9401 0.8801 0.5189  2 Al 2.57
Se 0.6670 0.3339 0.5075  1 Pa 2.60
Se 0.3081 0.6162 0.3962  1 Al 2.48
Se 0.4908 0.9817 0.2925  1 Al 2.27
Se 0.6996 0.3992 0.1503  2 Pa 2.79
Se 0.0599 0.1199 0.0189  2 Al 2.57

Properties
Calculated volume = 35.01 A^3/atom
ΔE_f (raw) = -1220.9 meV/atom
Total energy = -4.84 eV/atom
Mass density = 4.3 g cm⁻³
Space-group type = Cmc2_1, No. 36
Total magnetic moment = 0.22 Bohr magnetons per cell

---

(9)
VASP calculation (PBE-GGA) on a geometry-optimized Rb2PaAlTe5 structure.

a b c (Å): 4.4641 11.1161 15.5598
angles (deg): 90.00 90.00 101.58
With the nearest neighbours (Å) after each atom.
Positions (direct):
Rb 0.8838 0.7677 0.8303  6 Te 3.63-3.92
Rb 0.1243 0.2486 0.6866  5 Te 3.65-3.94
Rb 0.1162 0.2323 0.3303  6 Te 3.63-3.92
Rb 0.8757 0.7514 0.1866  5 Te 3.65-3.94
Pa 0.7980 0.5960 0.5268  6 Te 2.85-3.13
Pa 0.2020 0.4040 0.0268  6 Te 2.85-3.13
Al 0.5711 0.1422 0.9209  4 Te 2.52-2.77
Al 0.4289 0.8578 0.4209  4 Te 2.52-2.77
Te 0.3320 0.6639 0.0072  1 Pa 2.85
Te 0.6938 0.3875 0.8883  1 Al 2.72
Te 0.5109 0.0217 0.7825  1 Al 2.52
Te 0.3037 0.6075 0.6565  2 Pa 3.01
Te 0.9417 0.8833 0.5250  2 Al 2.77
Te 0.6680 0.3361 0.5072  1 Pa 2.85
Te 0.3062 0.6125 0.3883  1 Al 2.72
Te 0.4891 0.9782 0.2825  1 Al 2.52
Te 0.6963 0.3925 0.1565  2 Pa 3.01
Te 0.0583 0.1167 0.0250  2 Al 2.77

Properties
Calculated volume = 42.02 A^3/atom
ΔE_f (raw) = -830.6 meV/atom
Total energy = -4.26 eV/atom
Mass density = 4.7 g cm⁻³
Space-group type = Cmc2_1, No. 36
Total magnetic moment = 0.29 Bohr magnetons per cell

---

(10)
VASP calculation (PBE-GGA) on a geometry-optimized PaAl4Re structure.

a b c (Å): 4.2456 6.8449 7.6111
angles (deg): 90.00 90.00 90.00
With the nearest neighbours (Å) after each atom.
Positions (direct):
Pa 0.0000 0.6278 0.7500  1 Re 2.73
Pa 0.0000 0.3722 0.2500  1 Re 2.73
Al 0.0000 0.0000 0.5000  2 Re 2.46
Al 0.0000 0.0000 0.0000  2 Re 2.46
Al 0.5000 0.9629 0.7500  8 Al 2.79-3.04, 2 Re 2.79, 2 Pa 3.13
Al 0.5000 0.0371 0.2500  8 Al 2.79-3.04, 2 Re 2.79, 2 Pa 3.13
Al 0.5000 0.6866 0.0621  2 Re 2.62, 3 Al 2.72-2.86
Al 0.5000 0.3134 0.9379  2 Re 2.62, 3 Al 2.72-2.86
Al 0.5000 0.6866 0.4379  2 Re 2.62, 3 Al 2.72-2.86
Al 0.5000 0.3134 0.5621  2 Re 2.62, 3 Al 2.72-2.86
Re 0.0000 0.2285 0.7500  6 Al 2.46-2.62, 1 Pa 2.73
Re 0.0000 0.7715 0.2500  6 Al 2.46-2.62, 1 Pa 2.73

Properties
Calculated volume = 18.43 A^3/atom
Formation enthalpy at 0 K = -0.289 eV per atom
Total energy = -6.44 eV/atom
Mass density = 7.9 g cm⁻³
Space-group type = Pmma, No. 51
Total magnetic moment = 0.00 Bohr magnetons per cell
Relative energy among the computed polymorphs = 0.0 meV/atom

---

(11)
VASP calculation (PBE-GGA) on a geometry-optimized Pa3Al7Re2 structure.

a b c (Å): 5.3474 5.3474 9.5103
angles (deg): 73.67 73.67 60.00
With the nearest neighbours (Å) after each atom.
Positions (direct):
Pa 0.0000 0.0000 0.0000  6 Re 3.09, 12 Al 3.42
Pa 0.8467 0.8467 0.4599  12 Al 3.11-3.34, 3 Pa 3.17
Pa 0.1533 0.1533 0.5401  12 Al 3.11-3.34, 3 Pa 3.17
Al 0.5000 0.5000 0.5000  6 Al 2.84, 6 Pa 3.11
Al 0.9260 0.4188 0.2365  2 Re 2.60-2.65, 5 Al 2.63-2.84
Al 0.4188 0.9260 0.2365  2 Re 2.60-2.65, 5 Al 2.63-2.84
Al 0.4188 0.4188 0.2365  2 Re 2.60-2.65, 5 Al 2.63-2.84
Al 0.0740 0.5812 0.7635  2 Re 2.60-2.65, 5 Al 2.63-2.84
Al 0.5812 0.5812 0.7635  2 Re 2.60-2.65, 5 Al 2.63-2.84
Al 0.5812 0.0740 0.7635  2 Re 2.60-2.65, 5 Al 2.63-2.84
Re 0.6649 0.6649 0.0053  6 Al 2.60-2.65
Re 0.3351 0.3351 0.9947  6 Al 2.60-2.65

Properties
Calculated volume = 18.56 A^3/atom
Formation enthalpy at 0 K = -0.238 eV per atom
Total energy = -6.87 eV/atom
Mass density = 9.4 g cm⁻³
Space-group type = R-3m, No. 166
Total magnetic moment = 0.64 Bohr magnetons per cell

---

(12)
VASP calculation (PBE-GGA) on a geometry-optimized PaAl4Re structure.

a b c (Å): 6.8240 6.8240 7.0794
angles (deg): 61.15 61.15 89.93
With the nearest neighbours (Å) after each atom.
Positions (direct):
Pa 0.5000 0.5000 0.0000  2 Re 2.59
Pa 0.0000 0.0000 0.0000  2 Re 2.59
Al 0.9855 0.1934 0.3211  4 Al 2.71-2.82, 2 Re 2.77
Al 0.1934 0.6934 0.3223  4 Al 2.71-2.81, 2 Re 2.77
Al 0.4842 0.9842 0.3223  4 Al 2.71-2.81, 2 Re 2.77
Al 0.5158 0.0158 0.6777  4 Al 2.71-2.81, 2 Re 2.77
Al 0.8066 0.3066 0.6777  4 Al 2.71-2.81, 2 Re 2.77
Al 0.0145 0.8066 0.6789  4 Al 2.71-2.82, 2 Re 2.77
Al 0.3066 0.5145 0.6789  4 Al 2.71-2.82, 2 Re 2.77
Al 0.6934 0.4855 0.3211  4 Al 2.71-2.82, 2 Re 2.77
Re 0.7500 0.7500 0.5000  2 Pa 2.59, 8 Al 2.77
Re 0.2500 0.2500 0.5000  2 Pa 2.59, 8 Al 2.77

Properties
Calculated volume = 20.09 A^3/atom
Formation enthalpy at 0 K = -0.108 eV per atom
Total energy = -6.26 eV/atom
Mass density = 7.2 g cm⁻³
Space-group type = Fmmm, No. 69
Total magnetic moment = 0.00 Bohr magnetons per cell
Relative energy among the computed polymorphs = 181.8 meV/atom